Record 1
A relaxed Th2PdPt9 crystal, computed with PBE.

a = 9.3688 Å, b = 9.3688 Å, c = 9.3688 Å
α = 33.87°, β = 33.87°, γ = 33.87°
Positions (direct):
Th1 0.1305 0.1305 0.1305
Th2 0.8695 0.8695 0.8695
Pd1 0.0000 0.0000 0.0000
Pt1 0.0791 0.5873 0.5873
Pt2 0.3327 0.3327 0.3327
Pt3 0.4127 0.4127 0.9209
Pt4 0.4127 0.9209 0.4127
Pt5 0.5000 0.5000 0.5000
Pt6 0.5873 0.0791 0.5873
Pt7 0.5873 0.5873 0.0791
Pt8 0.6673 0.6673 0.6673
Pt9 0.9209 0.4127 0.4127

Results
Formation enthalpy at 0 K (eV per atom): -0.615
SG: No. 166
Energy above the lowest structure with this stoichiometry (kcal/mol of atoms): 2.46

Record 2
A relaxed LiGaSn crystal, computed with PBE.

a = 5.1091 Å, b = 5.2935 Å, c = 5.7639 Å
α = 78.27°, β = 64.10°, γ = 61.48°
Positions (direct):
Li1 0.1146 0.2715 0.2533
Li2 0.8854 0.7285 0.7467
Ga1 0.2254 0.0425 0.7509
Ga2 0.7746 0.9575 0.2491
Sn1 0.4411 0.6245 0.2496
Sn2 0.5589 0.3755 0.7504

Results
Formation enthalpy at 0 K (eV per atom): -0.184
SG: No. 2

Record 3
A relaxed BaHfTe2N crystal, computed with PBE.

a = 6.2078 Å, b = 6.2078 Å, c = 4.2712 Å
α = 90.00°, β = 90.00°, γ = 90.00°
Positions (direct):
Ba1 0.0000 0.0000 0.0000
Hf1 0.5000 0.5000 0.5000
Te1 0.0000 0.5000 0.0000
Te2 0.5000 0.0000 0.0000
N1 0.0000 0.0000 0.5000

Results
Formation energy without anion corrections (eV per atom): 1.18
SG: No. 123
Energy above the lowest structure with this stoichiometry (kcal/mol of atoms): 47.15

Record 4
A relaxed Cs4PdAu3 crystal, computed with PBE.

a = 5.0660 Å, b = 5.2485 Å, c = 12.5583 Å
α = 90.00°, β = 90.00°, γ = 90.00°
Positions (direct):
Cs1 0.0000 0.0000 0.0000
Cs2 0.0000 0.5000 0.4980
Cs3 0.5000 0.0000 0.2868
Cs4 0.5000 0.5000 0.7853
Pd1 0.5000 0.0000 0.6159
Au1 0.0000 0.0000 0.6787
Au2 0.0000 0.5000 0.2035
Au3 0.5000 0.5000 0.0823

Results
Formation enthalpy at 0 K (eV per atom): -0.222
SG: No. 25

Record 5
A relaxed Tb4Nd2MgSc crystal, computed with PBE.

a = 4.9705 Å, b = 4.9705 Å, c = 9.9483 Å
α = 90.00°, β = 90.00°, γ = 90.00°
Positions (direct):
Tb1 0.0000 0.5000 0.2465
Tb2 0.0000 0.5000 0.7535
Tb3 0.5000 0.0000 0.2465
Tb4 0.5000 0.0000 0.7535
Nd1 0.0000 0.0000 0.0000
Nd2 0.5000 0.5000 0.5000
Mg1 0.0000 0.0000 0.5000
Sc1 0.5000 0.5000 0.0000

Results
Formation enthalpy at 0 K (eV per atom): 0.034
SG: No. 123

Record 6
A relaxed Cs6Br2Cl3F crystal, computed with PBE.

a = 11.0727 Å, b = 11.0727 Å, c = 10.0582 Å
α = 102.73°, β = 102.73°, γ = 25.88°
Positions (direct):
Cs1 0.0032 0.0032 0.2770
Cs2 0.3369 0.3369 0.9052
Cs3 0.3467 0.3467 0.4314
Cs4 0.6533 0.6533 0.5686
Cs5 0.6631 0.6631 0.0948
Cs6 0.9968 0.9968 0.7230
Br1 0.1654 0.1654 0.8325
Br2 0.8346 0.8346 0.1675
Cl1 0.1680 0.1680 0.3398
Cl2 0.5000 0.5000 0.0000
Cl3 0.8320 0.8320 0.6602
F1 0.5000 0.5000 0.5000

Results
Formation energy without anion corrections (eV per atom): -1.99
SG: No. 12

Record 7
A relaxed KPuPdS2 crystal, computed with PBE.

a = 7.5299 Å, b = 4.8692 Å, c = 7.6250 Å
α = 90.00°, β = 101.78°, γ = 90.00°
Positions (direct):
K1 0.0000 0.1780 0.2500
K2 0.0000 0.8220 0.7500
Pu1 0.5000 0.4841 0.7500
Pu2 0.5000 0.5159 0.2500
Pd1 0.5000 0.0000 0.0000
Pd2 0.5000 0.0000 0.5000
S1 0.2584 0.3152 0.9584
S2 0.2584 0.6848 0.4584
S3 0.7416 0.3152 0.5416
S4 0.7416 0.6848 0.0416

Results
Formation energy without anion corrections (eV per atom): -1.11
SG: No. 13

Record 8
A relaxed Cd2NiAg crystal, computed with PBE.

a = 5.6087 Å, b = 5.6087 Å, c = 5.6087 Å
α = 147.71°, β = 130.90°, γ = 59.99°
Positions (direct):
Cd1 0.0000 0.0000 0.0000
Cd2 0.7215 0.2215 0.5000
Ni1 0.2234 0.7234 0.5000
Ag1 0.4473 0.4473 0.0000

Results
Formation enthalpy at 0 K (eV per atom): 0.062
SG: No. 44

Record 9
A relaxed SrTaCuSi2 crystal, computed with PBE.

a = 4.5579 Å, b = 4.5579 Å, c = 4.9982 Å
α = 90.00°, β = 90.00°, γ = 90.00°
Positions (direct):
Sr1 0.0000 0.0000 0.0000
Ta1 0.5000 0.5000 0.0000
Cu1 0.0000 0.0000 0.5000
Si1 0.0000 0.5000 0.5000
Si2 0.5000 0.0000 0.5000

Results
Formation energy without anion corrections (eV per atom): 1.01
SG: No. 123

Record 10
A relaxed Tb2ScSnC crystal, computed with PBE.

a = 4.9188 Å, b = 4.9188 Å, c = 4.5768 Å
α = 90.00°, β = 90.00°, γ = 90.00°
Positions (direct):
Tb1 0.0000 0.5000 0.0000
Tb2 0.5000 0.0000 0.0000
Sc1 0.0000 0.0000 0.5000
Sn1 0.5000 0.5000 0.5000
C1 0.0000 0.0000 0.0000

Results
Formation enthalpy at 0 K (eV per atom): -0.656
SG: No. 123

Record 11
A relaxed TmAlCu6 crystal, computed with PBE.

a = 4.8464 Å, b = 4.8464 Å, c = 4.8464 Å
α = 90.00°, β = 90.00°, γ = 90.00°
Positions (direct):
Tm1 0.0000 0.0000 0.0000
Al1 0.5000 0.5000 0.5000
Cu1 0.0000 0.2580 0.5000
Cu2 0.0000 0.7420 0.5000
Cu3 0.2580 0.5000 0.0000
Cu4 0.5000 0.0000 0.2580
Cu5 0.5000 0.0000 0.7420
Cu6 0.7420 0.5000 0.0000

Results
Formation enthalpy at 0 K (eV per atom): -0.082
SG: No. 200

Record 12
A relaxed Tc3HgSe crystal, computed with PBE.

a = 5.1481 Å, b = 5.1481 Å, c = 5.1481 Å
α = 90.00°, β = 90.00°, γ = 90.00°
Positions (direct):
Tc1 0.0000 0.0000 0.5000
Tc2 0.0000 0.5000 0.0000
Tc3 0.5000 0.0000 0.0000
Hg1 0.0000 0.0000 0.0000
Se1 0.5000 0.5000 0.5000

Results
Formation energy without anion corrections (eV per atom): 2.40
SG: No. 221
Energy above the lowest structure with this stoichiometry (kcal/mol of atoms): 31.37

Record 13
A relaxed CaZn2S crystal, computed with PBE.

a = 6.2461 Å, b = 6.2461 Å, c = 6.2461 Å
α = 100.40°, β = 100.40°, γ = 129.72°
Positions (direct):
Ca1 0.0000 0.0000 0.0000
Ca2 0.7500 0.2500 0.5000
Zn1 0.1732 0.1250 0.5482
Zn2 0.3750 0.8268 0.9518
Zn3 0.5768 0.6250 0.4518
Zn4 0.8750 0.4232 0.0482
S1 0.2500 0.7500 0.5000
S2 0.5000 0.5000 0.0000

Results
Formation energy without anion corrections (eV per atom): -0.57
SG: No. 122

Record 14
A relaxed TlSnBi4 crystal, computed with PBE.

a = 6.6007 Å, b = 6.6007 Å, c = 6.6007 Å
α = 60.00°, β = 60.00°, γ = 60.00°
Positions (direct):
Tl1 0.0000 0.0000 0.0000
Sn1 0.7500 0.7500 0.7500
Bi1 0.3751 0.3751 0.3751
Bi2 0.3751 0.3751 0.8747
Bi3 0.3751 0.8747 0.3751
Bi4 0.8747 0.3751 0.3751

Results
Formation enthalpy at 0 K (eV per atom): 0.187
SG: No. 216

Record 15
A relaxed RbMgNb2Tl crystal, computed with PBE.

a = 4.9274 Å, b = 4.9274 Å, c = 5.8356 Å
α = 90.00°, β = 90.00°, γ = 90.00°
Positions (direct):
Rb1 0.0000 0.0000 0.0000
Mg1 0.5000 0.5000 0.5000
Nb1 0.0000 0.5000 0.0000
Nb2 0.5000 0.0000 0.0000
Tl1 0.0000 0.0000 0.5000

Results
Formation enthalpy at 0 K (eV per atom): 2.366
SG: No. 123

Record 16
A relaxed Be3SnRu crystal, computed with PBE.

a = 4.2603 Å, b = 4.2603 Å, c = 4.2603 Å
α = 90.00°, β = 90.00°, γ = 90.00°
Positions (direct):
Be1 0.0000 0.0000 0.5000
Be2 0.0000 0.5000 0.0000
Be3 0.5000 0.0000 0.0000
Sn1 0.5000 0.5000 0.5000
Ru1 0.0000 0.0000 0.0000

Results
Formation enthalpy at 0 K (eV per atom): 0.481
SG: No. 221
Energy above the lowest structure with this stoichiometry (kcal/mol of atoms): 0.00

Record 17
A relaxed BP2Au crystal, computed with PBE.

a = 3.2832 Å, b = 3.2832 Å, c = 6.6513 Å
α = 90.00°, β = 90.00°, γ = 120.00°
Positions (direct):
B1 0.0000 0.0000 0.0000
P1 0.6667 0.3333 0.0803
P2 0.6667 0.3333 0.4234
Au1 0.0000 0.0000 0.6671

Results
Formation enthalpy at 0 K (eV per atom): 0.199
SG: No. 156

Record 18
A relaxed MgRuPt2 crystal, computed with PBE.

a = 3.9220 Å, b = 3.9220 Å, c = 3.9567 Å
α = 90.00°, β = 90.00°, γ = 90.00°
Positions (direct):
Mg1 0.0000 0.0000 0.0000
Ru1 0.5000 0.5000 0.0000
Pt1 0.0000 0.5000 0.5000
Pt2 0.5000 0.0000 0.5000

Results
Formation enthalpy at 0 K (eV per atom): -0.277
SG: No. 123

Record 19
A relaxed Cu2Cl3 crystal, computed with PBE.

a = 6.7053 Å, b = 6.7053 Å, c = 6.7053 Å
α = 55.01°, β = 55.01°, γ = 55.01°
Positions (direct):
Cu1 0.1559 0.1559 0.1559
Cu2 0.3441 0.3441 0.3441
Cu3 0.6559 0.6559 0.6559
Cu4 0.8441 0.8441 0.8441
Cl1 0.0682 0.7500 0.4318
Cl2 0.2500 0.5682 0.9318
Cl3 0.4318 0.0682 0.7500
Cl4 0.5682 0.9318 0.2500
Cl5 0.7500 0.4318 0.0682
Cl6 0.9318 0.2500 0.5682

Results
Formation energy without anion corrections (eV per atom): -0.43
SG: No. 167
Energy above the lowest structure with this stoichiometry (kcal/mol of atoms): 1.77

Record 20
A relaxed KAc2LaTe4 crystal, computed with PBE.

a = 8.1872 Å, b = 4.7015 Å, c = 8.2668 Å
α = 90.00°, β = 109.03°, γ = 90.00°
Positions (direct):
K1 0.0000 0.0000 0.0000
Ac1 0.5000 0.0000 0.5000
Ac2 0.5000 0.5000 0.0000
La1 0.0000 0.5000 0.5000
Te1 0.2450 0.0000 0.7434
Te2 0.2523 0.5000 0.2581
Te3 0.7477 0.5000 0.7419
Te4 0.7550 0.0000 0.2566

Results
Formation energy without anion corrections (eV per atom): -1.49
SG: No. 10

Record 21
A relaxed HfZrZnPt crystal, computed with PBE.

a = 4.7240 Å, b = 4.7240 Å, c = 4.7240 Å
α = 60.00°, β = 60.00°, γ = 60.00°
Positions (direct):
Hf1 0.0000 0.0000 0.0000
Zr1 0.5000 0.5000 0.5000
Zn1 0.7500 0.7500 0.7500
Pt1 0.2500 0.2500 0.2500

Results
Formation enthalpy at 0 K (eV per atom): -0.556
SG: No. 216

Record 22
A relaxed CePm8Pr6 crystal, computed with PBE.

a = 8.8577 Å, b = 8.8577 Å, c = 8.8577 Å
α = 63.41°, β = 63.41°, γ = 63.41°
Positions (direct):
Ce1 0.0000 0.0000 0.0000
Pm1 0.1137 0.7132 0.7557
Pm2 0.2443 0.8863 0.2868
Pm3 0.2868 0.2443 0.8863
Pm4 0.4228 0.4228 0.4228
Pm5 0.5772 0.5772 0.5772
Pm6 0.7132 0.7557 0.1137
Pm7 0.7557 0.1137 0.7132
Pm8 0.8863 0.2868 0.2443
Pr1 0.1000 0.5409 0.2343
Pr2 0.2343 0.1000 0.5409
Pr3 0.4591 0.7657 0.9000
Pr4 0.5409 0.2343 0.1000
Pr5 0.7657 0.9000 0.4591
Pr6 0.9000 0.4591 0.7657

Results
Formation enthalpy at 0 K (eV per atom): 0.117
SG: No. 148

Record 23
A relaxed K8SrTe6 crystal, computed with PBE.

a = 10.2200 Å, b = 10.2200 Å, c = 10.2200 Å
α = 95.18°, β = 95.18°, γ = 145.01°
Positions (direct):
K1 0.0140 0.6491 0.1872
K2 0.1732 0.9860 0.6351
K3 0.3509 0.5381 0.3649
K4 0.4619 0.8268 0.8128
K5 0.5381 0.3509 0.3649
K6 0.6491 0.0140 0.1872
K7 0.8268 0.4619 0.8128
K8 0.9860 0.1732 0.6351
Sr1 0.0000 0.0000 0.0000
Te1 0.0000 0.5000 0.5000
Te2 0.0811 0.3835 0.0000
Te3 0.3835 0.0811 0.0000
Te4 0.5000 0.0000 0.5000
Te5 0.6165 0.6165 0.6976
Te6 0.9189 0.9189 0.3024

Results
Formation energy without anion corrections (eV per atom): -1.06
SG: No. 121

Record 24
A relaxed Ce4SnSb2 crystal, computed with PBE.

a = 8.2177 Å, b = 8.2177 Å, c = 8.2177 Å
α = 109.56°, β = 109.56°, γ = 109.29°
Positions (direct):
Ce1 0.1251 0.7272 0.7492
Ce2 0.1259 0.2280 0.7508
Ce3 0.2728 0.0220 0.3980
Ce4 0.4772 0.3751 0.2492
Ce5 0.6241 0.8749 0.6020
Ce6 0.6249 0.8741 0.1020
Ce7 0.7720 0.5228 0.8980
Ce8 0.9780 0.3759 0.2508
Sn1 0.0000 0.0000 0.0000
Sn2 0.7500 0.2500 0.5000
Sb1 0.2497 0.6250 0.1247
Sb2 0.3750 0.4997 0.6247
Sb3 0.5003 0.1250 0.8753
Sb4 0.8750 0.7503 0.3753

Results
Formation energy without anion corrections (eV per atom): -0.80
SG: No. 122

Record 25
A relaxed ZrCu2Pt crystal, computed with PBE.

a = 8.9453 Å, b = 8.9453 Å, c = 8.9453 Å
α = 18.52°, β = 18.52°, γ = 18.52°
Positions (direct):
Zr1 0.0000 0.0000 0.0000
Cu1 0.2437 0.2437 0.2437
Cu2 0.5046 0.5046 0.5046
Pt1 0.7571 0.7571 0.7571

Results
Formation enthalpy at 0 K (eV per atom): -0.081
SG: No. 160